Record 1
# NdTlBr2

A relaxed NdTlBr2 crystal (PBE, Alexandria).

Structure (POSCAR):
```
NdTlBr2
1.0
4.147 0.000 0.000
2.073 3.591 0.000
2.073 1.197 10.259
Tl Nd Br
1 1 2
Direct
0.500 0.500 0.500 Tl
0.000 0.000 0.000 Nd
0.093 0.093 0.722 Br
0.907 0.907 0.278 Br
```

Formation energy from raw total energies ... -3.26 eV per formula unit
ρ ... 5.53 g cm⁻³

=====

Record 2
# V4MoAu

A relaxed V4MoAu crystal (PBE, Alexandria).

Structure (POSCAR):
```
V4MoAu
1.0
-1.701 1.625 -3.653
-0.703 -4.154 1.064
-4.427 1.442 2.703
V Mo Au
4 1 1
Direct
0.667 0.333 0.765 V
0.333 0.667 0.235 V
0.667 0.333 0.235 V
0.333 0.667 0.765 V
0.000 0.000 0.000 Mo
0.000 0.000 0.500 Au
```

Relative energy among the computed polymorphs ... 111 meV per atom
ρ ... 9.37 g cm⁻³
DFT formation energy ... 166 meV per atom

=====

Record 3
# Pu2H2Cl

A relaxed Pu2H2Cl crystal (PBE, Alexandria).

Structure (POSCAR):
```
Pu2H2Cl
1.0
3.900 -0.863 -0.068
-1.672 3.628 -0.068
-0.968 -1.200 6.125
Pu H Cl
2 2 1
Direct
0.689 0.689 0.377 Pu
0.311 0.311 0.623 Pu
0.250 0.750 0.500 H
0.750 0.250 0.500 H
0.000 0.000 0.000 Cl
```

ρ ... 11.32 g cm⁻³
Total energy ... -0.5682 Ry per atom

=====

Record 4
# LiAl2ZnSe4

A relaxed LiAl2ZnSe4 crystal (PBE, Alexandria).

Structure (POSCAR):
```
LiAl2ZnSe4
1.0
-1.894 4.151 3.834
2.914 -3.345 3.980
4.034 2.494 -4.799
Li Al Zn Se
1 2 1 4
Direct
0.508 0.508 0.016 Li
0.761 0.261 0.523 Al
0.261 0.761 0.523 Al
0.000 0.000 0.000 Zn
0.614 0.614 0.727 Se
0.362 0.881 0.243 Se
0.881 0.362 0.243 Se
0.112 0.112 0.727 Se
```

Formation energy from raw total energies ... -6.17 eV per formula unit
ρ ... 3.81 g cm⁻³

=====

Record 5
# Li2YPt2

A relaxed Li2YPt2 crystal (PBE, Alexandria).

Structure (POSCAR):
```
Li2YPt2
1.0
-6.824 -3.154 0.882
2.691 -4.238 5.665
-0.728 2.113 1.926
Y Pt Li
2 4 4
Direct
0.000 0.000 0.000 Y
0.500 0.500 0.000 Y
0.331 0.831 0.000 Pt
0.831 0.669 0.000 Pt
0.669 0.169 0.000 Pt
0.169 0.331 0.000 Pt
0.124 0.624 0.500 Li
0.624 0.876 0.500 Li
0.876 0.376 0.500 Li
0.376 0.124 0.500 Li
```

Relative energy among the computed polymorphs ... 128 meV per atom
ρ ... 9.68 g cm⁻³
DFT formation energy ... -636 meV per atom

=====

Record 6
# MgAg14Au

A relaxed MgAg14Au crystal (PBE, Alexandria).

Structure (POSCAR):
```
MgAg14Au
1.0
5.905 -0.396 0.000
-2.679 5.277 0.000
0.000 0.000 9.524
Mg Ag Au
1 14 1
Direct
0.039 0.961 0.500 Mg
0.211 0.789 0.000 Ag
0.710 0.290 0.000 Ag
0.039 0.460 0.500 Ag
0.211 0.289 0.000 Ag
0.540 0.961 0.500 Ag
0.711 0.789 0.000 Ag
0.374 0.124 0.749 Ag
0.374 0.124 0.251 Ag
0.876 0.626 0.749 Ag
0.876 0.626 0.251 Ag
0.375 0.625 0.749 Ag
0.375 0.625 0.251 Ag
0.875 0.125 0.751 Ag
0.875 0.125 0.249 Ag
0.540 0.460 0.500 Au
```

ρ ... 10.03 g cm⁻³
DFT formation energy ... -40 meV per atom

=====

Record 7
# KIn5Pt3

A relaxed KIn5Pt3 crystal (PBE, Alexandria).

Structure (POSCAR):
```
KIn5Pt3
1.0
-1.205 -4.022 -1.395
1.280 -0.466 7.255
-13.726 3.201 2.627
K In Pt
2 10 6
Direct
0.834 0.669 0.750 K
0.166 0.331 0.250 K
0.794 0.589 0.425 In
0.206 0.411 0.925 In
0.000 0.000 0.500 In
0.000 0.000 0.000 In
0.455 0.910 0.151 In
0.545 0.090 0.849 In
0.545 0.090 0.651 In
0.794 0.589 0.075 In
0.206 0.411 0.575 In
0.455 0.910 0.349 In
0.388 0.776 0.971 Pt
0.886 0.772 0.250 Pt
0.388 0.776 0.529 Pt
0.612 0.224 0.471 Pt
0.114 0.228 0.750 Pt
0.612 0.224 0.029 Pt
```

ρ ... 8.91 g cm⁻³
DFT formation energy ... -365 meV per atom

=====

Record 8
# RbNa3Pt

A relaxed RbNa3Pt crystal (PBE, Alexandria).

Structure (POSCAR):
```
RbNa3Pt
1.0
5.681 0.000 0.000
0.000 5.681 0.000
0.000 0.000 5.681
Na Rb Pt
3 1 1
Direct
0.000 0.500 0.000 Na
0.000 0.000 0.500 Na
0.500 0.000 0.000 Na
0.500 0.500 0.500 Rb
0.000 0.000 0.000 Pt
```

Relative energy among the computed polymorphs ... 21 meV per atom
ρ ... 3.17 g cm⁻³
DFT formation energy ... 14 meV per atom

=====

Record 9
# La2Sb3Rh4

A relaxed La2Sb3Rh4 crystal (PBE, Alexandria).

Structure (POSCAR):
```
La2Sb3Rh4
1.0
-1.270 4.876 3.684
-0.120 -4.493 5.905
8.592 -1.200 -0.738
La Sb Rh
4 6 8
Direct
0.103 0.582 0.205 La
0.897 0.418 0.795 La
0.397 0.082 0.795 La
0.603 0.918 0.205 La
0.000 0.000 0.000 Sb
0.500 0.500 0.000 Sb
0.512 0.750 0.523 Sb
0.988 0.250 0.477 Sb
0.488 0.250 0.477 Sb
0.012 0.750 0.523 Sb
0.678 0.750 0.855 Rh
0.822 0.250 0.145 Rh
0.322 0.250 0.145 Rh
0.178 0.750 0.855 Rh
0.171 0.984 0.343 Rh
0.829 0.016 0.657 Rh
0.329 0.484 0.657 Rh
0.671 0.516 0.343 Rh
```

Formation energy from raw total energies ... -7.38 eV per formula unit
ρ ... 9.30 g cm⁻³

=====

Record 10
# Tb5Zn2Cd

A relaxed Tb5Zn2Cd crystal (PBE, Alexandria).

Structure (POSCAR):
```
Tb5Zn2Cd
1.0
7.469 0.000 -3.526
-1.664 7.281 -3.526
-0.568 -0.712 8.472
Tb Zn Cd
10 4 2
Direct
0.506 0.702 0.708 Tb
0.798 0.994 0.292 Tb
0.000 0.000 0.000 Tb
0.500 0.500 0.000 Tb
0.202 0.006 0.708 Tb
0.702 0.202 0.708 Tb
0.006 0.506 0.708 Tb
0.298 0.798 0.292 Tb
0.994 0.494 0.292 Tb
0.494 0.298 0.292 Tb
0.142 0.358 0.000 Zn
0.642 0.142 0.000 Zn
0.358 0.858 0.000 Zn
0.858 0.642 0.000 Zn
0.750 0.750 0.500 Cd
0.250 0.250 0.500 Cd
```

ρ ... 8.14 g cm⁻³
DFT formation energy ... -216 meV per atom

=====

Record 11
# KLaTa2

A relaxed KLaTa2 crystal (PBE, Alexandria).

Structure (POSCAR):
```
KLaTa2
1.0
-4.553 -1.395 1.001
-2.531 -3.503 2.236
-0.075 4.535 7.867
K La Ta
1 1 2
Direct
0.497 0.497 0.556 K
0.263 0.263 0.157 La
0.004 0.004 0.933 Ta
0.736 0.736 0.854 Ta
```

Relative energy among the computed polymorphs ... 228 meV per atom
ρ ... 6.77 g cm⁻³
DFT formation energy ... 783 meV per atom

=====

Record 12
# ZrV2HPd

A relaxed ZrV2HPd crystal (PBE, Alexandria).

Structure (POSCAR):
```
ZrV2HPd
1.0
-3.859 0.053 0.131
0.072 -2.341 3.071
0.142 3.567 2.716
H Zr Pd V
1 1 1 2
Direct
0.000 0.000 0.000 H
0.000 0.000 0.500 Zr
0.500 0.500 0.500 Pd
0.000 0.500 0.000 V
0.500 0.000 0.000 V
```

ρ ... 7.46 g cm⁻³
Total energy ... -0.5288 Ry per atom

=====

Record 13
# Pm3PuBi4

A relaxed Pm3PuBi4 crystal (PBE, Alexandria).

Structure (POSCAR):
```
Pm3PuBi4
1.0
-4.449 0.953 -0.458
0.674 -0.632 -7.859
-1.828 -7.064 3.062
Pm Pu Bi
3 1 4
Direct
0.000 0.000 0.500 Pm
0.500 0.500 0.500 Pm
0.000 0.500 0.000 Pm
0.500 0.000 0.000 Pu
0.000 0.247 0.247 Bi
0.500 0.751 0.249 Bi
0.000 0.753 0.753 Bi
0.500 0.249 0.751 Bi
```

Relative energy among the computed polymorphs ... 0 meV per atom
ρ ... 9.32 g cm⁻³
DFT formation energy ... -781 meV per atom

=====

Record 14
# Pa2Ga3Ni12Pt

A relaxed Pa2Ga3Ni12Pt crystal (PBE, Alexandria).

Structure (POSCAR):
```
Pa2Ga3Ni12Pt
1.0
-3.159 1.940 -5.174
1.648 -4.844 -3.786
-5.227 -3.518 0.908
Pa Ga Ni Pt
2 3 12 1
Direct
0.663 0.663 0.663 Pa
0.337 0.337 0.337 Pa
0.500 0.000 0.000 Ga
0.000 0.500 0.000 Ga
0.000 0.000 0.500 Ga
0.395 0.395 0.896 Ni
0.796 0.796 0.303 Ni
0.303 0.796 0.796 Ni
0.896 0.395 0.395 Ni
0.796 0.303 0.796 Ni
0.395 0.896 0.395 Ni
0.605 0.605 0.104 Ni
0.204 0.204 0.697 Ni
0.697 0.204 0.204 Ni
0.104 0.605 0.605 Ni
0.204 0.697 0.204 Ni
0.605 0.104 0.605 Ni
0.000 0.000 0.000 Pt
```

ρ ... 10.33 g cm⁻³
DFT formation energy ... -183 meV per atom

=====

Record 15
# TiCoIN2

A relaxed TiCoIN2 crystal (PBE, Alexandria).

Structure (POSCAR):
```
TiCoIN2
1.0
3.808 0.000 0.000
0.000 3.808 0.000
0.000 0.000 5.165
I N Co Ti
1 2 1 1
Direct
0.000 0.000 0.500 I
0.000 0.500 0.000 N
0.500 0.000 0.000 N
0.000 0.000 0.000 Co
0.500 0.500 0.500 Ti
```

Formation energy from raw total energies ... 5.88 eV per formula unit
Relative energy among the computed polymorphs ... 516 meV per atom
ρ ... 5.80 g cm⁻³

=====

Record 16
# Sb3C4

A relaxed Sb3C4 crystal (PBE, Alexandria).

Structure (POSCAR):
```
Sb3C4
1.0
-3.311 -3.447 1.160
2.121 -0.555 4.403
-2.955 3.464 1.860
Sb C
3 4
Direct
0.500 0.000 0.500 Sb
0.500 0.500 0.000 Sb
0.000 0.500 0.500 Sb
0.242 0.758 0.242 C
0.758 0.242 0.242 C
0.758 0.758 0.758 C
0.242 0.242 0.758 C
```

Formation energy from raw total energies ... 12.31 eV per formula unit
Relative energy among the computed polymorphs ... 111 meV per atom
ρ ... 5.77 g cm⁻³

=====

Record 17
# LaNdEu

A relaxed LaNdEu crystal (PBE, Alexandria).

Structure (POSCAR):
```
LaNdEu
1.0
-3.517 -1.137 -0.721
1.236 -3.526 -0.468
0.005 0.898 8.388
Eu Nd La
1 1 1
Direct
0.998 0.998 0.997 Eu
0.328 0.328 0.656 Nd
0.673 0.673 0.347 La
```

Relative energy among the computed polymorphs ... 0 meV per atom
ρ ... 6.37 g cm⁻³
DFT formation energy ... 25 meV per atom

=====

Record 18
# SrPmAg2O4

A relaxed SrPmAg2O4 crystal (PBE, Alexandria).

Structure (POSCAR):
```
SrPmAg2O4
1.0
-2.272 -3.221 4.692
3.071 -3.245 3.261
0.113 1.739 5.250
Sr Pm Ag O
1 1 2 4
Direct
0.000 0.000 0.000 Sr
0.500 0.500 0.500 Pm
0.250 0.250 0.250 Ag
0.750 0.750 0.750 Ag
0.525 0.080 0.475 O
0.080 0.920 0.525 O
0.920 0.475 0.080 O
0.475 0.525 0.920 O
```

Formation energy from raw total energies ... -13.63 eV per formula unit
ρ ... 6.59 g cm⁻³

=====

Record 19
# Be2TlCl

A relaxed Be2TlCl crystal (PBE, Alexandria).

Structure (POSCAR):
```
Be2TlCl
1.0
3.329 -0.038 0.000
-1.978 2.678 0.000
0.000 0.000 9.990
Be Tl Cl
2 1 1
Direct
0.000 0.000 0.062 Be
0.500 0.500 0.242 Be
0.500 0.500 0.818 Tl
0.000 0.000 0.379 Cl
```

Formation energy from raw total energies ... 0.93 eV per formula unit
Relative energy among the computed polymorphs ... 75 meV per atom
ρ ... 4.85 g cm⁻³

=====

Record 20
# AcLa3PmNd

A relaxed AcLa3PmNd crystal (PBE, Alexandria).

Structure (POSCAR):
```
AcLa3PmNd
1.0
6.012 0.000 0.000
-3.006 10.496 1.643
0.000 -1.269 7.012
Ac La Pm Nd
2 6 2 2
Direct
0.351 0.701 0.956 Ac
0.649 0.299 0.044 Ac
0.842 0.684 0.242 La
0.780 0.561 0.714 La
0.484 0.968 0.246 La
0.220 0.439 0.286 La
0.516 0.032 0.754 La
0.158 0.316 0.758 La
0.640 0.280 0.501 Pm
0.360 0.720 0.499 Pm
0.057 0.114 0.279 Nd
0.943 0.886 0.721 Nd
```

ρ ... 6.81 g cm⁻³
DFT formation energy ... 159 meV per atom

=====

Record 21
# Hg2SbP

A relaxed Hg2SbP crystal (PBE, Alexandria).

Structure (POSCAR):
```
Hg2SbP
1.0
0.882 -6.394 -0.341
-3.130 -5.621 -0.158
-0.313 -1.172 -3.906
Hg Sb P
2 1 1
Direct
0.500 0.000 0.000 Hg
0.000 0.500 0.500 Hg
0.500 0.500 0.500 Sb
0.000 0.000 0.000 P
```

Formation energy from raw total energies ... 1.16 eV per formula unit
Relative energy among the computed polymorphs ... 206 meV per atom
ρ ... 9.54 g cm⁻³

=====

Record 22
# Ga2IrPt4

A relaxed Ga2IrPt4 crystal (PBE, Alexandria).

Structure (POSCAR):
```
Ga2IrPt4
1.0
-1.450 3.135 -3.374
1.417 -3.062 -3.454
-5.774 -2.627 -3.414
Ir Ga Pt
1 2 4
Direct
0.000 0.000 0.000 Ir
0.606 0.606 0.788 Ga
0.394 0.394 0.212 Ga
0.791 0.791 0.418 Pt
0.209 0.209 0.582 Pt
0.000 0.500 0.000 Pt
0.500 0.000 0.000 Pt
```

ρ ... 12.49 g cm⁻³
DFT formation energy ... 683 meV per atom

=====

Record 23
# BaCa2C

A relaxed BaCa2C crystal (PBE, Alexandria).

Structure (POSCAR):
```
BaCa2C
1.0
7.741 0.000 0.000
0.000 7.741 0.000
3.870 3.870 5.481
C Ca Ba
2 4 2
Direct
0.500 0.500 0.000 C
0.250 0.750 0.500 C
0.375 0.125 0.250 Ca
0.375 0.625 0.250 Ca
0.375 0.625 0.750 Ca
0.875 0.625 0.750 Ca
0.000 0.000 0.000 Ba
0.750 0.250 0.500 Ba
```

ρ ... 2.32 g cm⁻³
DFT formation energy ... 492 meV per atom

=====

Record 24
# Li7Zn2

A relaxed Li7Zn2 crystal (PBE, Alexandria).

Structure (POSCAR):
```
Li7Zn2
1.0
4.919 0.000 0.000
-2.460 4.260 0.000
0.000 0.000 7.203
Li Zn
7 2
Direct
0.000 0.000 0.000 Li
0.659 0.000 0.325 Li
0.000 0.659 0.325 Li
0.341 0.341 0.325 Li
0.000 0.341 0.675 Li
0.341 0.000 0.675 Li
0.659 0.659 0.675 Li
0.333 0.667 0.000 Zn
0.667 0.333 0.000 Zn
```

Relative energy among the computed polymorphs ... 0 meV per atom
ρ ... 1.97 g cm⁻³
DFT formation energy ... -66 meV per atom